RbTl2AuBr5: relaxed, PBE.

Computed properties:
Its spin magnetization is 0.0 μB/f.u. The value obtained for the uncorrected energy is -96.36 eV/cell. As for the uncorrected formation energy: -72.3 kJ/mol of atoms.

```
data_RbTl2AuBr5
_chemical_formula_sum 'Rb4 Tl8 Au4 Br20'
_symmetry_space_group_name_H-M 'I 4/m c m'
_symmetry_Int_Tables_number 140
_symmetry_space_group_name_Hall '-I 4 2c'
_cell_length_a 8.819
_cell_length_b 8.819
_cell_length_c 16.064
_cell_angle_alpha 90.00
_cell_angle_beta 90.00
_cell_angle_gamma 90.00
loop_
_atom_site_label
_atom_site_type_symbol
_atom_site_fract_x
_atom_site_fract_y
_atom_site_fract_z
_atom_site_occupancy
Rb1 Rb 0.000 0.000 0.250 1
Tl1 Tl 0.169 0.331 0.000 1
Au1 Au 0.000 0.500 0.250 1
Br1 Br 0.000 0.000 0.000 1
Br2 Br 0.153 0.347 0.361 1
```